Here is crystalline AlPAu2 at its relaxed geometry from Alexandria. Energies are from PBE.

a b c (Å): 2.782 5.694 9.076
angles (deg): 90.00 90.00 90.00
Space group Immm (No. 71)
Unique sites:
Al 0.000 0.000 0.000
P 0.000 0.000 0.500
Au 0.000 0.500 0.258

Results
The calculation puts the size of the total moment at 0.000 μB per atom. For the formation energy, the calculation gives 7.3 kJ per mole of atoms. The calculation puts the offset from the most stable computed form at 0.57 eV per formula unit. For the density of states at the Fermi level, the calculation gives 1.7 states/eV/cell.

---

Here is crystalline AlPAu at its relaxed geometry from Alexandria. Energies are from PBE.

a b c (Å): 6.114 6.114 6.114
angles (deg): 90.00 90.00 90.00
Space group F-43m (No. 216)
Unique sites:
Al 0.000 0.000 0.000
P 0.000 0.000 0.500
Au 0.250 0.250 0.750

Results
The calculation puts the size of the total moment at 0.000 μB per atom. For the formation energy, the calculation gives 4.6 kJ per mole of atoms. The calculation puts the offset from the most stable computed form at 0.43 eV per formula unit. For the density of states at the Fermi level, the calculation gives 9.6 states/eV/cell.

---

Here is crystalline Al2PAu at its relaxed geometry from Alexandria. Energies are from PBE.

a b c (Å): 3.576 5.055 7.547
angles (deg): 90.00 90.00 90.00
Space group Immm (No. 71)
Unique sites:
Al 0.000 0.000 0.231
P 0.000 0.500 0.500
Au 0.000 0.500 0.000

Results
The calculation puts the size of the total moment at 0.000 μB per atom. For the formation energy, the calculation gives -0.1 kJ per mole of atoms. For the density of states at the Fermi level, the calculation gives 3.0 states/eV/cell.

---

Here is crystalline Al2PAu at its relaxed geometry from Alexandria. Energies are from PBE.

a b c (Å): 6.959 6.972 2.728
angles (deg): 90.00 90.00 90.00
Space group Cmmm (No. 65)
Unique sites:
Al 0.250 0.250 0.000
P 0.000 0.000 0.500
Au 0.000 0.500 0.500

Results
The calculation puts the size of the total moment at 0.000 μB per atom. For the formation energy, the calculation gives -2.3 kJ per mole of atoms. For the density of states at the Fermi level, the calculation gives 2.3 states/eV/cell.

---

Here is crystalline Al2PAu at its relaxed geometry from Alexandria. Energies are from PBE.

a b c (Å): 3.378 3.478 11.813
angles (deg): 90.00 90.00 90.00
Space group Imm2 (No. 44)
Unique sites:
Al 0.000 0.000 0.000
Al 0.000 0.500 0.221
P 0.000 0.000 0.562
Au 0.000 0.500 0.821

Results
The calculation puts the size of the total moment at 0.000 μB per atom. For the formation energy, the calculation gives -18.6 kJ per mole of atoms. For the density of states at the Fermi level, the calculation gives 1.9 states/eV/cell.

---

Here is crystalline AlPAu2 at its relaxed geometry from Alexandria. Energies are from PBE.

a b c (Å): 12.497 3.293 3.723
angles (deg): 90.00 92.44 90.00
Space group Cm (No. 8)
Unique sites:
Al 0.000 0.000 0.000
P 0.309 0.500 0.983
Au 0.072 0.500 0.511
Au 0.279 0.000 0.477

Results
The calculation puts the size of the total moment at 0.000 μB per atom. For the formation energy, the calculation gives -6.5 kJ per mole of atoms. The calculation puts the offset from the most stable computed form at 0.00 eV per formula unit. For the density of states at the Fermi level, the calculation gives 1.5 states/eV/cell.

---

Here is crystalline Al2PAu at its relaxed geometry from Alexandria. Energies are from PBE.

a b c (Å): 3.7094 3.7094 18.9575
angles (deg): 90.00 90.00 120.00
Space group R3m (No. 160, hexagonal axes)
Unique sites:
Al 0.0000 0.0000 0.0000
Al 0.0000 0.0000 0.2249
P 0.0000 0.0000 0.5020
Au 0.0000 0.0000 0.7438

Results
The calculation puts the size of the total moment at 0.000 μB per atom. For the formation energy, the calculation gives -5.4 kJ per mole of atoms. For the density of states at the Fermi level, the calculation gives 3.7 states/eV/cell.

---

Here is crystalline AlPAu2 at its relaxed geometry from Alexandria. Energies are from PBE.

a b c (Å): 3.666 4.621 8.121
angles (deg): 90.00 90.00 90.00
Space group Imm2 (No. 44)
Unique sites:
Al 0.000 0.000 0.000
P 0.000 0.500 0.703
Au 0.000 0.000 0.482
Au 0.000 0.500 0.261

Results
The calculation puts the size of the total moment at 0.000 μB per atom. For the formation energy, the calculation gives 7.3 kJ per mole of atoms. The calculation puts the offset from the most stable computed form at 0.57 eV per formula unit. For the density of states at the Fermi level, the calculation gives 1.8 states/eV/cell.

---

Here is crystalline AlPAu at its relaxed geometry from Alexandria. Energies are from PBE.

a b c (Å): 6.046 6.046 6.046
angles (deg): 90.00 90.00 90.00
Space group F-43m (No. 216)
Unique sites:
Al 0.000 0.000 0.000
P 0.250 0.250 0.750
Au 0.250 0.250 0.250

Results
The calculation puts the size of the total moment at 0.000 μB per atom. For the formation energy, the calculation gives -2.4 kJ per mole of atoms. The calculation puts the offset from the most stable computed form at 0.21 eV per formula unit. For the density of states at the Fermi level, the calculation gives 5.7 states/eV/cell.

---

Here is crystalline Al3PAu at its relaxed geometry from Alexandria. Energies are from PBE.

a b c (Å): 4.656 4.656 4.656
angles (deg): 90.00 90.00 90.00
Space group Pm-3m (No. 221)
Unique sites:
Al 0.000 0.000 0.500
P 0.000 0.000 0.000
Au 0.500 0.500 0.500

Results
The calculation puts the size of the total moment at 0.000 μB per atom. For the formation energy, the calculation gives 34.4 kJ per mole of atoms. The calculation puts the offset from the most stable computed form at 0.00 eV per formula unit. For the density of states at the Fermi level, the calculation gives 4.0 states/eV/cell.

---

Here is crystalline AlPAu2 at its relaxed geometry from Alexandria. Energies are from PBE.

a b c (Å): 6.520 6.520 6.520
angles (deg): 90.00 90.00 90.00
Space group F-43m (No. 216)
Unique sites:
Al 0.000 0.000 0.000
P 0.250 0.250 0.250
Au 0.000 0.000 0.500
Au 0.250 0.250 0.750

Results
The calculation puts the size of the total moment at 0.000 μB per atom. For the formation energy, the calculation gives 18.3 kJ per mole of atoms. The calculation puts the offset from the most stable computed form at 1.03 eV per formula unit. For the density of states at the Fermi level, the calculation gives 4.2 states/eV/cell.

---

Here is crystalline AlPAu2 at its relaxed geometry from Alexandria. Energies are from PBE.

a b c (Å): 2.959 2.959 7.668
angles (deg): 90.00 90.00 90.00
Space group P4mm (No. 99)
Unique sites:
Al 0.000 0.000 0.000
P 0.500 0.500 0.790
Au 0.000 0.000 0.520
Au 0.500 0.500 0.232

Results
The calculation puts the size of the total moment at 0.000 μB per atom. For the formation energy, the calculation gives 8.5 kJ per mole of atoms. The calculation puts the offset from the most stable computed form at 0.62 eV per formula unit. For the density of states at the Fermi level, the calculation gives 1.1 states/eV/cell.

---

Here is crystalline Al2PAu at its relaxed geometry from Alexandria. Energies are from PBE.

a b c (Å): 7.263 6.796 2.760
angles (deg): 90.00 100.67 90.00
Space group C2/m (No. 12)
Unique sites:
Al 0.250 0.250 0.000
P 0.000 0.000 0.500
Au 0.000 0.500 0.500

Results
The calculation puts the size of the total moment at 0.000 μB per atom. For the formation energy, the calculation gives -2.4 kJ per mole of atoms. For the density of states at the Fermi level, the calculation gives 2.6 states/eV/cell.

---

Here is crystalline AlPAu2 at its relaxed geometry from Alexandria. Energies are from PBE.

a b c (Å): 2.969 2.969 7.658
angles (deg): 90.00 90.00 90.00
Space group P4/mmm (No. 123)
Unique sites:
Al 0.000 0.000 0.000
P 0.000 0.000 0.500
Au 0.500 0.500 0.229

Results
The calculation puts the size of the total moment at 0.000 μB per atom. For the formation energy, the calculation gives 9.9 kJ per mole of atoms. The calculation puts the offset from the most stable computed form at 0.68 eV per formula unit. For the density of states at the Fermi level, the calculation gives 1.0 states/eV/cell.